PBE LiThScW, optimized geometry; E_tot = -27.9 eV per cell
1.0
4.9026 0.0000 0.0000
2.4513 4.2458 0.0000
2.4513 1.4153 4.0029
Sc Th Li W
1 1 1 1
Cartesian
4.9026 2.8305 2.0015 Sc
0.0000 0.0000 0.0000 Th
2.4513 1.4153 1.0007 Li
7.3539 4.2458 3.0022 W

---

PBE CaCu6Rh2, optimized geometry; E_tot = -40.3 eV per cell
1.0
4.3074 0.0000 0.0000
2.1537 6.2587 1.6044
2.1537 2.8083 5.8189
Cu Rh Ca
6 2 1
Cartesian
4.3074 5.2396 2.8492 Cu
4.3074 5.5500 6.2060 Cu
4.3074 1.8875 3.2075 Cu
4.3074 7.1794 4.2159 Cu
4.3074 3.8273 4.5742 Cu
4.3074 3.5169 1.2173 Cu
6.4611 5.5653 4.5565 Rh
2.1537 3.5016 2.8669 Rh
0.0000 0.0000 0.0000 Ca

---

PBE RbPm4Pd3O12, optimized geometry; uncorrected formation energy = -1.83 eV/atom
1.0
7.3585 0.0000 0.0000
-2.4528 6.9377 0.0000
-2.4528 -3.4688 6.0082
O Pm Pd Rb
12 4 3 1
Cartesian
3.2831 1.2216 4.0329 O
2.3955 1.7275 0.9585 O
1.6226 4.0559 3.0744 O
-0.8302 2.2473 1.9753 O
-0.0574 5.2438 1.0168 O
0.8302 -0.5871 2.9339 O
4.9630 0.0336 1.9753 O
4.0755 4.1034 0.9585 O
-1.6226 -0.6345 5.0497 O
0.0574 1.7413 5.0497 O
2.5102 -1.7750 4.9914 O
-2.5102 3.4352 4.0329 O
-1.2264 -1.7344 3.0041 Pm
1.2264 1.7344 3.0041 Pm
3.6793 0.0000 0.0000 Pm
-1.2264 3.4688 0.0000 Pm
-2.4528 1.7344 3.0041 Pd
2.4528 3.4688 0.0000 Pd
2.4528 -1.7344 3.0041 Pd
0.0000 0.0000 0.0000 Rb

---

PBE TiZnGa2N, optimized geometry; uncorrected formation energy = 0.34 eV/atom
1.0
5.1989 0.0000 0.0000
0.0000 3.8162 0.0000
0.0000 0.0000 5.1989
Ti Zn Ga N
1 1 2 1
Cartesian
0.0000 0.0000 0.0000 Ti
2.5995 1.9081 2.5995 Zn
0.0000 0.0000 2.5995 Ga
2.5995 0.0000 0.0000 Ga
0.0000 1.9081 0.0000 N

---

PBE Mg2IrW2, optimized geometry; offset from the most stable computed form = 0.030 eV per atom
1.0
-3.7445 -3.0977 4.0770
-1.5784 -4.1066 -4.5698
3.1749 -2.4195 1.0776
Mg W Ir
4 4 2
Cartesian
-2.6496 -2.6009 1.9665 Mg
-1.1055 -1.9059 -1.0222 Mg
-2.6733 -4.6033 -2.4594 Mg
-4.2173 -5.2983 0.5293 Mg
0.0353 -2.9077 1.2994 W
-2.1596 -5.2960 2.4037 W
0.0116 -4.3277 -1.8189 W
-2.1833 -6.7161 -0.7147 W
0.0000 0.0000 0.0000 Ir
-2.6614 -3.6021 -0.2464 Ir